GdEr2Ga PBE relaxed; formation energy from the elements = -1.00 eV per formula unit; space-group type = P4/mmm; DOS at the Fermi energy = 4.35 states/eV/f.u.
1.0
4.718 0.000 0.000
0.000 4.718 0.000
0.000 0.000 4.678
Gd Er Ga
1 2 1
Cartesian
0.000 0.000 0.000
0.000 2.359 2.339
2.359 0.000 2.339
2.359 2.359 0.000


Nb6Mo2W PBE relaxed; formation energy from the elements = 4.00 eV per formula unit; space-group type = P-6m2; DOS at the Fermi energy = 11.19 states/eV/f.u.
1.0
3.075 0.000 0.000
-1.537 2.663 0.000
0.000 0.000 19.946
Nb Mo W
6 2 1
Cartesian
0.000 0.000 1.312
0.000 0.000 5.462
0.000 0.000 14.484
0.000 0.000 18.634
0.000 1.775 7.857
0.000 1.775 12.090
0.000 1.775 3.374
0.000 1.775 16.572
0.000 0.000 9.973


TiGa3Hg PBE relaxed; formation energy from the elements = 2.24 eV per formula unit; space-group type = Pm-3m; DOS at the Fermi energy = 5.06 states/eV/f.u.
1.0
5.082 0.000 0.000
0.000 5.082 0.000
0.000 0.000 5.082
Ti Ga Hg
1 3 1
Cartesian
0.000 0.000 0.000
0.000 0.000 2.541
0.000 2.541 0.000
2.541 0.000 0.000
2.541 2.541 2.541


PmInGa2Ni5 PBE relaxed; formation energy from the elements = -0.80 eV per formula unit; space-group type = P4/mmm; DOS at the Fermi energy = 3.24 states/eV/f.u.
1.0
4.016 0.000 0.000
0.000 4.016 0.000
0.000 0.000 8.751
Pm In Ga Ni
1 1 2 5
Cartesian
0.000 0.000 0.000
0.000 0.000 4.376
2.008 2.008 3.134
2.008 2.008 5.618
0.000 2.008 1.925
0.000 2.008 6.827
2.008 0.000 1.925
2.008 0.000 6.827
2.008 2.008 0.000


Dy2Te4O11 PBE relaxed; raw formation energy = -1.853 eV per atom; space-group type = C2/c; DOS at the Fermi energy = 0.00 states/eV/f.u.
1.0
6.243 -2.588 0.000
6.243 2.588 0.000
-4.229 0.000 15.826
Dy Te O
4 8 22
Cartesian
0.686 1.300 15.236
5.457 1.300 8.503
2.801 -1.300 7.323
7.571 -1.300 0.590
1.984 1.126 9.880
3.455 1.131 4.787
6.917 1.131 3.127
4.158 1.126 13.859
4.099 -1.126 1.967
1.340 -1.131 12.700
4.803 -1.131 11.040
6.273 -1.126 5.946
3.075 2.036 8.622
1.152 0.281 2.635
5.186 1.816 3.957
3.068 2.036 15.117
1.588 0.319 5.916
-0.962 -0.281 10.548
3.424 0.229 0.813
-0.527 -0.319 13.829
1.309 -0.229 8.726
4.242 0.395 6.392
6.130 0.395 1.521
2.127 -0.395 14.305
4.016 -0.395 9.434
6.948 0.229 7.100
8.784 0.319 1.997
4.833 -0.229 15.014
9.220 0.281 5.278
6.669 -0.319 9.911
5.190 -2.036 0.709
3.071 -1.816 11.870
7.105 -0.281 13.191
5.182 -2.036 7.204


SrFe2W PBE relaxed; formation energy from the elements = 2.04 eV per formula unit; space-group type = P4/mmm; DOS at the Fermi energy = 4.20 states/eV/f.u.
1.0
3.127 0.000 0.000
0.000 3.127 0.000
0.000 0.000 7.312
Sr Fe W
1 2 1
Cartesian
0.000 0.000 0.000
1.564 1.564 2.392
1.564 1.564 4.920
0.000 0.000 3.656


TaNb3O PBE relaxed; raw formation energy = 1.957 eV per atom; space-group type = Pm-3m; DOS at the Fermi energy = 5.45 states/eV/f.u.
1.0
4.901 0.000 0.000
0.000 4.901 0.000
0.000 0.000 4.901
Ta Nb O
1 3 1
Cartesian
0.000 0.000 0.000
0.000 0.000 2.450
0.000 2.450 0.000
2.450 0.000 0.000
2.450 2.450 2.450


Y2SeBr PBE relaxed; raw formation energy = -1.336 eV per atom; space-group type = Imm2; DOS at the Fermi energy = 2.66 states/eV/f.u.
1.0
3.834 0.000 0.000
0.000 3.918 0.000
0.000 0.000 13.291
Y Se Br
4 2 2
Cartesian
0.000 0.000 0.000
0.000 1.959 3.161
1.917 0.000 9.807
1.917 1.959 6.645
0.000 0.000 7.662
1.917 1.959 1.017
0.000 1.959 11.006
1.917 0.000 4.361


| no. | raw total energy (eV per atom) |
| --- | --- |
| 1 | -6.808 |
| 2 | -10.115 |
| 3 | -3.007 |
| 4 | -4.806 |
| 5 | -6.342 |
| 6 | -7.379 |
| 7 | -7.447 |
| 8 | -5.857 |